This record from Alexandria describes a relaxed SrLi2ErPt2 crystal. The functional is PBE.

Calculated values
As for the energy of formation: -0.742 eV per atom.

POSCAR file:
```
SrLi2ErPt2
1.0
-2.085 3.506 -1.672
-0.882 -1.338 4.107
5.496 4.537 2.658
Er Pt Li Sr
1 2 2 1
Cartesian
2.748 2.268 1.329
2.164 5.068 2.115
0.365 1.637 2.978
2.644 3.519 4.080
-0.116 3.186 1.013
0.000 0.000 0.000
```

This record from Alexandria describes a relaxed BaScSn2N crystal. The functional is PBE.

Calculated values
For the uncorrected formation energy, the calculation gives -58 meV per atom.

POSCAR file:
```
BaScSn2N
1.0
5.854 0.000 0.000
0.000 4.157 0.000
0.000 0.000 5.854
Sn Ba N Sc
2 1 1 1
Cartesian
2.927 0.000 0.000
0.000 0.000 2.927
2.927 2.078 2.927
0.000 2.078 0.000
0.000 0.000 0.000
```

What did the first record say?
This record from Alexandria describes a relaxed SrLi2ErPt2 crystal. The functional is PBE.

Calculated values
As for the energy of formation: -0.742 eV per atom.

POSCAR file:
```
SrLi2ErPt2
1.0
-2.085 3.506 -1.672
-0.882 -1.338 4.107
5.496 4.537 2.658
Er Pt Li Sr
1 2 2 1
Cartesian
2.748 2.268 1.329
2.164 5.068 2.115
0.365 1.637 2.978
2.644 3.519 4.080
-0.116 3.186 1.013
0.000 0.000 0.000
```

Copy entry 1 word for word.
This record from Alexandria describes a relaxed SrLi2ErPt2 crystal. The functional is PBE.

Calculated values
As for the energy of formation: -0.742 eV per atom.

POSCAR file:
```
SrLi2ErPt2
1.0
-2.085 3.506 -1.672
-0.882 -1.338 4.107
5.496 4.537 2.658
Er Pt Li Sr
1 2 2 1
Cartesian
2.748 2.268 1.329
2.164 5.068 2.115
0.365 1.637 2.978
2.644 3.519 4.080
-0.116 3.186 1.013
0.000 0.000 0.000
```